TlCd2BiCl8 | PBE-GGA | optimized geometry

## Properties
The calculation puts the energy relative to the elements, uncorrected at -1.008 eV per atom.

Unit cell a=6.5613 b=6.5815 c=9.1197 alpha=81.26 beta=80.38 gamma=81.73
With the nearest neighbours (Å) after each atom.
Space group P-1 (No. 2)
Unique sites:
Tl  0.0000  0.0000  0.0000 [1 per cell]  6 Cl 3.18-3.25
Cd  0.4446  0.4545  0.2206 [2 per cell]  5 Cl 2.55-2.69
Bi  0.0000  0.0000  0.5000 [1 per cell]  6 Cl 2.74-2.76
Cl  0.2016  0.7648  0.7203 [2 per cell]  1 Cd 2.64, 1 Bi 2.75
Cl  0.2602  0.2970  0.4748 [2 per cell]  1 Cd 2.57, 1 Bi 2.74
Cl  0.2653  0.8267  0.2721 [2 per cell]  1 Cd 2.63, 1 Bi 2.76
Cl  0.3094  0.3433  0.0028 [2 per cell]  2 Cd 2.55-2.69